Computed, not measured: an optimized crystal structure of Nb5Sb4 at the PBE level of DFT.

a b c (Å): 7.542 7.542 7.542
angles (deg): 92.92 92.92 153.90
Fractional positions:
Sb: 0.678 0.636 0.314
Sb: 0.322 0.364 0.686
Sb: 0.636 0.322 0.958
Nb: 0.345 0.955 0.300
Nb: 0.045 0.345 0.391
Sb: 0.364 0.678 0.042
Nb: 0.955 0.655 0.609
Nb: 0.655 0.045 0.700
Nb: 0.000 0.000 0.000

Values from the calculation:
Fermi-level density of states: 0.73 states/eV/atom
ΔE_f (raw): -65 meV/atom
Size of the total moment: 0.00 Bohr magnetons per cell